Sr2MgCrTe: relaxed, GGA-PBE.

**Electronic total energy**: -0.1245 Ha/atom
**Formation energy (no corrections)**: 76 kJ/mol of formula units
**SG**: P4/mmm, No. 123

a b c (Å): 6.0779 5.2020 6.0779
angles (deg): 90.00 90.00 90.00
With the nearest neighbours (Å) after each atom.
Positions (direct):
Cr 0.0000 0.0000 0.0000  2 Mg 2.60
Mg 0.0000 0.5000 0.0000  2 Cr 2.60
Sr 0.5000 0.0000 0.0000  2 Cr 3.04
Sr 0.0000 0.0000 0.5000  2 Cr 3.04
Te 0.5000 0.5000 0.5000  8 Sr 4.00, 4 Mg 4.30